6
Lattice="1.903 -5.637 0.000 1.903 5.637 0.000 0.000 0.000 3.858" Properties=species:S:1:pos:R:3 comment="ReRh2 (meta-GGA SCAN, single point on PBEsol structure)" mass_density_g_cm3=15.7 energy_ev_per_fu=-138.90 delta_e_f_mev_per_atom=-87.7 pbc="T T T"
Re 1.903 3.697 0.000
Re 1.903 -3.697 0.000
Rh 0.000 0.000 1.929
Rh 1.903 1.894 1.929
Rh 1.903 0.000 0.000
Rh 1.903 -1.894 1.929